Here is a crystal of CoTePb2 relaxed with PBEsol from Alexandria via LeMat-Bulk. Energies are from meta-GGA SCAN.

a b c (Å): 5.8680 5.8680 5.8680
angles (deg): 136.03 136.03 63.94
Fractional positions:
Co 0.0000 0.0000 0.0000
Te 0.5000 0.5000 0.0000
Pb 0.2500 0.7500 0.5000
Pb 0.7500 0.2500 0.5000

The density of states at the Fermi level is 0.380 states/eV per atom. As for the formation energy (no corrections): 416 meV/atom. The volume comes out at 24.025 Å³ per atom. The space-group type is I4/mmm (139). The total energy is -51.1136 eV per atom. As for the relative energy among the computed polymorphs: 0.212 eV/atom.

***

Here is a crystal of BaSr2WC relaxed with PBEsol from Alexandria via LeMat-Bulk. Energies are from meta-GGA SCAN.

a b c (Å): 5.6511 5.6511 4.1973
angles (deg): 90.00 90.00 90.00
Fractional positions:
Ba 0.0000 0.0000 0.0000
Sr 0.0000 0.5000 0.5000
Sr 0.5000 0.0000 0.5000
W 0.5000 0.5000 0.0000
C 0.5000 0.5000 0.5000

The density of states at the Fermi level is 1.002 states/eV per atom. The volume comes out at 26.808 Å³ per atom. The space-group type is P4/mmm (123). The total energy is -32.0464 eV per atom.

***

Here is a crystal of Co2TcMo relaxed with PBEsol from Alexandria via LeMat-Bulk. Energies are from meta-GGA SCAN.

a b c (Å): 2.5788 3.6599 5.1578
angles (deg): 90.00 90.00 90.00
Fractional positions:
Co 0.0000 0.0000 0.2427
Co 0.0000 0.0000 0.7573
Tc 0.5000 0.5000 0.0000
Mo 0.5000 0.5000 0.5000

The density of states at the Fermi level is 0.709 states/eV per atom. The volume comes out at 12.170 Å³ per atom. The space-group type is Pmmm (47). The total energy is -25.9715 eV per atom. As for the relative energy among the computed polymorphs: 0.064 eV/atom.

***

Here is a crystal of CdCoSe3 relaxed with PBEsol from Alexandria via LeMat-Bulk. Energies are from meta-GGA SCAN.

a b c (Å): 5.0802 5.0802 5.0802
angles (deg): 90.00 90.00 90.00
Fractional positions:
Cd 0.0000 0.0000 0.0000
Co 0.5000 0.5000 0.5000
Se 0.0000 0.0000 0.5000
Se 0.0000 0.5000 0.0000
Se 0.5000 0.0000 0.0000

The density of states at the Fermi level is 0.894 states/eV per atom. As for the formation energy (no corrections): 992 meV/atom. The volume comes out at 26.222 Å³ per atom. The space-group type is Pm-3m (221). The total energy is -20.5993 eV per atom.

***

Here is a crystal of TcOs2Cl relaxed with PBEsol from Alexandria via LeMat-Bulk. Energies are from meta-GGA SCAN.

a b c (Å): 5.0704 5.0704 4.2634
angles (deg): 90.17 90.17 31.69
Fractional positions:
Tc 0.0000 0.0000 0.0000
Os 0.2827 0.2827 0.7621
Os 0.7173 0.7173 0.2379
Cl 0.5000 0.5000 0.5000

The density of states at the Fermi level is 0.784 states/eV per atom. As for the formation energy (no corrections): 720 meV/atom. The volume comes out at 14.396 Å³ per atom. The space-group type is C2/m (12). The total energy is -45.9796 eV per atom. As for the relative energy among the computed polymorphs: 0.000 eV/atom.

***

Here is a crystal of Li2S2O7 relaxed with PBEsol from Alexandria via LeMat-Bulk. Energies are from meta-GGA SCAN.

a b c (Å): 13.1489 8.2094 4.8687
angles (deg): 90.00 90.00 90.00
Fractional positions:
Li 0.1035 0.0688 0.1006
Li 0.1035 0.4312 0.1006
Li 0.3965 0.5688 0.6006
Li 0.3965 0.9312 0.6006
Li 0.6035 0.0688 0.3994
Li 0.6035 0.4312 0.3994
Li 0.8965 0.5688 0.8994
Li 0.8965 0.9312 0.8994
S 0.0035 0.7500 0.3860
S 0.2166 0.7500 0.2782
S 0.2834 0.2500 0.7782
S 0.4965 0.2500 0.8860
S 0.5035 0.7500 0.1140
S 0.7166 0.7500 0.2218
S 0.7834 0.2500 0.7218
S 0.9965 0.2500 0.6140
O 0.0079 0.1014 0.7753
O 0.0079 0.3986 0.7753
O 0.0557 0.2500 0.3619
O 0.1186 0.7500 0.5018
O 0.1987 0.2500 0.9699
O 0.2061 0.6011 0.1233
O 0.2061 0.8989 0.1233
O 0.2939 0.1011 0.6233
O 0.2939 0.3989 0.6233
O 0.3013 0.7500 0.4699
O 0.3814 0.2500 0.0018
O 0.4443 0.7500 0.8619
O 0.4921 0.6014 0.2753
O 0.4921 0.8986 0.2753
O 0.5079 0.1014 0.7247
O 0.5079 0.3986 0.7247
O 0.5557 0.2500 0.1381
O 0.6186 0.7500 0.9982
O 0.6987 0.2500 0.5301
O 0.7061 0.6011 0.3767
O 0.7061 0.8989 0.3767
O 0.7939 0.1011 0.8767
O 0.7939 0.3989 0.8767
O 0.8013 0.7500 0.0301
O 0.8814 0.2500 0.4982
O 0.9443 0.7500 0.6381
O 0.9921 0.6014 0.2247
O 0.9921 0.8986 0.2247

The density of states at the Fermi level is 0.000 states/eV per atom. As for the formation energy (no corrections): -1868 meV/atom. The volume comes out at 11.944 Å³ per atom. The space-group type is Pnma (62). The total energy is -8.0181 eV per atom.